1.
The following is a PBE-GGA calculation of a relaxed structure of KDyPuCl6, from the Alexandria database.

a b c (Å): 7.165 7.165 13.703
angles (deg): 90.00 90.00 120.00
Fractional coordinates of all 18 atoms:
K 0.000 0.000 0.000
K 0.000 0.000 0.500
Dy 0.667 0.333 0.250
Dy 0.333 0.667 0.750
Pu 0.333 0.667 0.250
Pu 0.667 0.333 0.750
Cl 0.645 0.627 0.138
Cl 0.982 0.355 0.138
Cl 0.355 0.982 0.638
Cl 0.018 0.645 0.862
Cl 0.373 0.355 0.362
Cl 0.982 0.627 0.362
Cl 0.627 0.982 0.862
Cl 0.645 0.018 0.362
Cl 0.018 0.373 0.638
Cl 0.373 0.018 0.138
Cl 0.627 0.645 0.638
Cl 0.355 0.373 0.862

## Properties
Formation energy without anion corrections in eV per atom: -2.059
Spin magnetization in μB/cell: 12.0
Calculated volume in Å³ per cell: 609.1
Calculated density in g cm⁻³: 3.59
Symmetry: P-31c
Uncorrected energy in eV per atom: -5.52

=====

2.
The following is a PBE-GGA calculation of a relaxed structure of K2RbDyCl6, from the Alexandria database.

a b c (Å): 7.777 7.777 8.131
angles (deg): 61.43 61.43 59.99
Fractional coordinates of all 10 atoms:
K 0.530 0.530 0.411
K 0.019 0.019 0.943
Rb 0.812 0.812 0.563
Dy 0.323 0.323 0.031
Cl 0.560 0.218 0.238
Cl 0.218 0.983 0.238
Cl 0.983 0.561 0.238
Cl 0.412 0.670 0.784
Cl 0.670 0.134 0.784
Cl 0.134 0.412 0.784

## Properties
Formation energy without anion corrections in eV per atom: -2.127
Spin magnetization in μB/cell: 0.0
Calculated volume in Å³ per cell: 355.1
ΔE to the lowest computed polymorph in eV per atom: 0.000
Calculated density in g cm⁻³: 2.52
Symmetry: R3
Uncorrected energy in eV per atom: -4.01